1.
First-principles (GGA-PBE) data for a relaxed structure of HfNi4Au, as listed in Alexandria.

Density of states at the Fermi level   6.695 states/eV/cell
SG   F-43m (216)
Energy of formation from the pure elements   -0.4411 eV/atom

Unit cell a=4.8229 b=4.8229 c=4.8229 alpha=60.00 beta=60.00 gamma=60.00
Closest atoms and distances in Å follow each position.
Element x y z (fractional)
Au1 0.0000 0.0000 0.0000  12 Ni 2.83, 4 Hf 2.95
Ni1 0.1242 0.6253 0.6253  6 Ni 2.41-2.42
Ni2 0.6253 0.1242 0.6253  6 Ni 2.41-2.42
Ni3 0.6253 0.6253 0.1242  6 Ni 2.41-2.42
Ni4 0.6253 0.6253 0.6253  6 Ni 2.41-2.42
Hf1 0.2500 0.2500 0.2500  12 Ni 2.83, 4 Au 2.95


2.
First-principles (GGA-PBE) data for a relaxed structure of Ag7BiSb2Pb2, as listed in Alexandria.

Density of states at the Fermi level   3.617 states/eV/cell
SG   C2/m (12)
Raw formation energy   1.235 eV per formula unit

Unit cell a=4.3118 b=4.3118 c=15.6106 alpha=83.38 beta=83.38 gamma=89.52
Closest atoms and distances in Å follow each position.
Element x y z (fractional)
Ag1 0.2990 0.2990 0.4597  1 Sb 2.89, 1 Pb 2.91, 1 Ag 2.94
Ag2 0.7010 0.7010 0.5403  1 Sb 2.89, 1 Pb 2.91, 1 Ag 2.94
Ag3 0.0618 0.5614 0.8533  2 Sb 2.89-2.90, 6 Ag 3.03-3.13, 2 Bi 3.12-3.13
Ag4 0.9382 0.4386 0.1467  2 Sb 2.89-2.90, 6 Ag 3.03-3.13, 2 Bi 3.12-3.13
Ag5 0.5614 0.0618 0.8533  2 Sb 2.89-2.90, 6 Ag 3.03-3.13, 2 Bi 3.12-3.13
Ag6 0.5000 0.5000 0.0000  4 Bi 3.04-3.06, 8 Ag 3.12-3.13
Ag7 0.4386 0.9382 0.1467  2 Sb 2.89-2.90, 6 Ag 3.03-3.13, 2 Bi 3.12-3.13
Bi1 0.0000 0.0000 0.0000  12 Ag 3.04-3.13
Pb1 0.1499 0.1499 0.6466  1 Ag 2.91
Pb2 0.8501 0.8501 0.3534  1 Ag 2.91
Sb1 0.6143 0.6143 0.7277  5 Ag 2.89-2.90
Sb2 0.3857 0.3857 0.2723  5 Ag 2.89-2.90


Among the records above, which one has the lowest density of states at the Fermi level?
Ag7BiSb2Pb2


What is the density of states at the Fermi level in the first record?
6.695 states/eV/cell


Look up the density of states at the Fermi level of the second one.
3.617 states/eV/cell


What is the density of states at the Fermi level in the first record?
6.695 states/eV/cell